First-principles (GGA-PBE) data for Y2CuTeC after structural relaxation, as listed in the Alexandria database.

Calculated total energy (eV per atom): -4.662
Volume (Å³/cell): 145
Size of the total moment (μB/cell): 0.000
Symmetry: P4/mmm (123)
E_form (uncorrected) (eV/atom): 1.215

extended XYZ file:
```
5
Lattice="-1.024 -5.362 1.293 0.247 -1.121 -4.451 5.508 -0.922 0.538" Properties=species:S:1:pos:R:3 pbc="T T T"
Y -0.512 -2.681 0.647
Y 2.754 -0.461 0.269
Te 0.000 0.000 0.000
C 2.366 -3.702 -1.310
Cu 0.124 -0.560 -2.226
```

---

First-principles (GGA-PBE) data for PrCdC2O6 after structural relaxation, as listed in the Alexandria database.

Calculated total energy (eV per atom): -7.143
Volume (Å³/cell): 292
Size of the total moment (μB/cell): 0.000
Symmetry: C2/c (15)
E_form (uncorrected) (eV/atom): -1.754

extended XYZ file:
```
20
Lattice="6.650 0.073 -0.161 -0.741 6.609 -0.161 -1.885 -2.132 6.727" Properties=species:S:1:pos:R:3 pbc="T T T"
O 0.876 2.618 2.429
O 3.149 1.934 3.976
O 0.525 4.741 4.616
O 3.667 4.530 2.486
O 5.584 2.168 1.253
O -1.560 2.383 5.152
O 1.548 0.124 5.793
O 3.104 3.128 5.849
O 0.357 0.022 3.919
O 0.920 1.423 0.556
O 3.499 -0.190 1.789
O 2.476 4.427 0.612
C 1.056 -0.616 4.826
C 3.822 2.513 4.942
C 2.968 5.167 1.579
C 0.202 2.038 1.462
Cd -0.419 5.375 1.521
Cd 4.443 -0.823 4.884
Pr 3.215 2.162 1.521
Pr 0.809 2.389 4.884
```

---

First-principles (GGA-PBE) data for Li2CdHg9 after structural relaxation, as listed in the Alexandria database.

Calculated total energy (eV per atom): -0.729
Volume (Å³/cell): 283
Size of the total moment (μB/cell): 0.000
Symmetry: P4/mmm (123)
Energy relative to the elements (eV per atom): -0.107

extended XYZ file:
```
12
Lattice="4.411 0.000 0.000 0.000 4.411 0.000 0.000 0.000 14.565" Properties=species:S:1:pos:R:3 pbc="T T T"
Hg 2.206 0.000 12.003
Hg 2.206 2.206 0.000
Hg 0.000 2.206 2.561
Hg 0.000 2.206 7.282
Hg 2.206 2.206 4.915
Hg 2.206 0.000 7.282
Hg 0.000 2.206 12.003
Hg 2.206 0.000 2.561
Hg 2.206 2.206 9.649
Li 0.000 0.000 4.859
Li 0.000 0.000 9.706
Cd 0.000 0.000 0.000
```

---

First-principles (GGA-PBE) data for AcLaNi after structural relaxation, as listed in the Alexandria database.

Calculated total energy (eV per atom): -5.039
Volume (Å³/cell): 90
Size of the total moment (μB/cell): 0.000
Symmetry: I4mm (107)
Energy relative to the elements (eV per atom): -0.100

extended XYZ file:
```
3
Lattice="-1.121 3.315 1.121 -0.443 -1.302 3.407 7.109 0.642 -0.811" Properties=species:S:1:pos:R:3 pbc="T T T"
Ni 1.220 1.528 2.724
Ac 3.766 0.981 0.865
La 0.559 0.146 0.128
```

---

First-principles (GGA-PBE) data for LiGaReOs after structural relaxation, as listed in the Alexandria database.

Calculated total energy (eV per atom): -7.174
Volume (Å³/cell): 55
Size of the total moment (μB/cell): 0.000
Symmetry: F-43m (216)
Energy relative to the elements (eV per atom): -0.019

extended XYZ file:
```
4
Lattice="4.275 0.000 0.000 2.137 3.702 0.000 2.137 1.234 3.490" Properties=species:S:1:pos:R:3 pbc="T T T"
Re 0.000 0.000 0.000
Ga 2.137 1.234 0.873
Li 4.275 2.468 1.745
Os 6.412 3.702 2.618
```

---

First-principles (GGA-PBE) data for Ac3AgH after structural relaxation, as listed in the Alexandria database.

Calculated total energy (eV per atom): -3.755
Volume (Å³/cell): 153
Size of the total moment (μB/cell): 0.000
Symmetry: Pm-3m (221)

extended XYZ file:
```
5
Lattice="5.353 0.000 0.000 0.000 5.353 0.000 0.000 0.000 5.353" Properties=species:S:1:pos:R:3 pbc="T T T"
Ac 0.000 2.676 0.000
Ac 0.000 0.000 2.676
Ac 2.676 0.000 0.000
Ag 2.676 2.676 2.676
H 0.000 0.000 0.000
```

---

First-principles (GGA-PBE) data for Ba6AlHg after structural relaxation, as listed in the Alexandria database.

Calculated total energy (eV per atom): -2.099
Volume (Å³/cell): 402
Size of the total moment (μB/cell): 0.000
Symmetry: I4/mmm (139)
Energy relative to the elements (eV per atom): -0.151

extended XYZ file:
```
8
Lattice="-3.152 -4.445 -2.612 -2.537 -1.328 5.321 -11.015 4.164 -0.783" Properties=species:S:1:pos:R:3 pbc="T T T"
Ba -6.856 0.576 0.305
Ba -10.835 2.250 2.257
Ba -5.562 -2.300 3.636
Ba -11.142 0.692 -1.710
Ba -9.848 -2.184 1.621
Ba -5.869 -3.858 -0.331
Hg 0.000 0.000 0.000
Al -2.845 -2.886 1.354
```

---

First-principles (GGA-PBE) data for LiTa2As after structural relaxation, as listed in the Alexandria database.

Calculated total energy (eV per atom): -7.230
Volume (Å³/cell): 139
Size of the total moment (μB/cell): 0.000
Symmetry: I-42d (122)
Energy relative to the elements (eV per atom): 0.337

extended XYZ file:
```
8
Lattice="-3.226 6.241 1.054 0.854 -0.743 7.013 1.240 4.030 3.874" Properties=species:S:1:pos:R:3 pbc="T T T"
Li -1.186 2.749 4.034
Li 0.454 3.018 7.461
Ta -1.648 4.910 2.520
Ta 0.028 5.096 5.824
Ta 0.489 1.229 5.468
Ta -1.132 7.823 10.070
As 0.000 0.000 0.000
As -1.586 6.510 4.481
```

---

First-principles (GGA-PBE) data for Dy8HoEr2 after structural relaxation, as listed in the Alexandria database.

Calculated total energy (eV per atom): -4.413
Volume (Å³/cell): 350
Size of the total moment (μB/cell): 0.000
Symmetry: C2/m (12)
Energy relative to the elements (eV per atom): 0.179

extended XYZ file:
```
11
Lattice="-4.056 2.752 4.389 -5.601 -5.778 6.089 -0.413 -3.500 9.456" Properties=species:S:1:pos:R:3 pbc="T T T"
Dy -4.374 -1.155 10.589
Dy -6.496 -3.474 12.361
Dy -5.256 -6.534 12.521
Dy -4.814 0.009 7.413
Dy -3.575 -3.051 7.573
Dy -3.230 -4.288 10.945
Dy -6.841 -2.238 8.989
Dy -5.696 -5.371 9.345
Er -2.830 -0.770 4.882
Er -7.241 -5.755 15.052
Ho 0.000 0.000 0.000
```

---

First-principles (GGA-PBE) data for Ba2SbN after structural relaxation, as listed in the Alexandria database.

Calculated total energy (eV per atom): -4.349
Volume (Å³/cell): 136
Size of the total moment (μB/cell): 0.000
Symmetry: R-3m (166)
E_form (uncorrected) (eV/atom): -0.276

extended XYZ file:
```
4
Lattice="-2.699 -2.579 -1.250 0.449 -1.789 -3.478 4.323 -8.948 2.931" Properties=species:S:1:pos:R:3 pbc="T T T"
Ba 2.552 -6.332 1.357
Ba -0.479 -6.984 -3.155
N 1.036 -6.658 -0.899
Sb 0.000 0.000 0.000
```

---

First-principles (GGA-PBE) data for Ce2DyP3Rh4 after structural relaxation, as listed in the Alexandria database.

Calculated total energy (eV per atom): -7.280
Volume (Å³/cell): 180
Size of the total moment (μB/cell): 0.953
Symmetry: P-4m2 (115)
Energy relative to the elements (eV per atom): -1.070

extended XYZ file:
```
10
Lattice="3.995 0.000 0.000 0.000 3.995 0.000 0.000 0.000 11.305" Properties=species:S:1:pos:R:3 pbc="T T T"
Rh 0.000 1.997 3.721
Rh 1.997 0.000 7.584
Rh 0.000 0.000 0.000
Rh 1.997 1.997 0.000
Dy 1.997 1.997 5.652
P 0.000 1.997 1.382
P 0.000 0.000 5.652
P 1.997 0.000 9.923
Ce 1.997 0.000 2.544
Ce 0.000 1.997 8.761
```

---

First-principles (GGA-PBE) data for LiCu2Cl after structural relaxation, as listed in the Alexandria database.

Calculated total energy (eV per atom): -3.436
Volume (Å³/cell): 63
Size of the total moment (μB/cell): 0.000
Symmetry: Cm (8)
E_form (uncorrected) (eV/atom): -0.448

extended XYZ file:
```
4
Lattice="2.952 -1.130 0.575 1.040 2.985 0.575 0.631 0.293 6.456" Properties=species:S:1:pos:R:3 pbc="T T T"
Cu 3.152 1.465 1.353
Cu 0.935 0.435 1.702
Cl 4.325 2.010 5.438
Li 2.516 1.169 4.067
```

---

First-principles (GGA-PBE) data for Ce2Pu2CuGe4 after structural relaxation, as listed in the Alexandria database.

Calculated total energy (eV per atom): -7.342
Volume (Å³/cell): 204
Size of the total moment (μB/cell): 13.206
Symmetry: I4/mmm (139)
Energy relative to the elements (eV per atom): -0.331

extended XYZ file:
```
9
Lattice="6.488 0.168 0.242 -2.968 5.772 -0.242 -2.968 -2.254 5.319" Properties=species:S:1:pos:R:3 pbc="T T T"
Ge 1.687 0.923 1.332
Ge -2.968 -0.332 3.987
Ge -2.968 3.850 1.090
Ge -1.134 2.762 3.987
Ce 0.277 -0.164 4.050
Ce 0.277 3.849 1.269
Pu -1.921 1.139 1.643
Pu -4.014 2.379 3.434
Cu 0.000 0.000 0.000
```

---

First-principles (GGA-PBE) data for TaTlAgS4 after structural relaxation, as listed in the Alexandria database.

Calculated total energy (eV per atom): -5.250
Volume (Å³/cell): 400
Size of the total moment (μB/cell): 0.000
Symmetry: P2_1/m (11)
E_form (uncorrected) (eV/atom): -0.453

extended XYZ file:
```
14
Lattice="6.046 0.000 -0.091 0.000 7.160 0.000 -2.489 0.000 9.281" Properties=species:S:1:pos:R:3 pbc="T T T"
Tl 2.299 5.370 8.142
Tl 1.258 1.790 1.048
S 1.603 5.370 4.453
S 1.954 1.790 4.737
S 4.995 3.505 2.473
S -1.438 3.655 6.717
S 1.600 5.370 0.695
S -1.438 7.085 6.717
S 1.958 1.790 8.495
S 4.995 0.075 2.473
Ag 0.259 1.790 6.539
Ag 3.298 5.370 2.651
Ta 3.289 1.790 6.607
Ta 0.269 5.370 2.583
```

---

First-principles (GGA-PBE) data for Tm11Cd9Rh4 after structural relaxation, as listed in the Alexandria database.

Calculated total energy (eV per atom): -4.160
Volume (Å³/cell): 558
Size of the total moment (μB/cell): 0.000
Symmetry: Cmmm (65)
Energy relative to the elements (eV per atom): -0.543

extended XYZ file:
```
24
Lattice="3.634 0.000 0.000 0.000 11.880 -5.002 0.000 0.069 12.890" Properties=species:S:1:pos:R:3 pbc="T T T"
Tm 0.000 7.548 1.560
Tm 0.000 4.401 6.328
Tm 0.000 1.039 4.956
Tm 0.000 8.358 5.517
Tm 0.000 10.910 2.932
Tm 0.000 1.980 9.996
Tm 0.000 0.000 0.000
Tm 0.000 4.965 -0.992
Tm 0.000 6.984 8.880
Tm 0.000 3.591 2.371
Tm 0.000 9.969 -2.108
Rh 1.817 3.102 4.549
Rh 1.817 8.847 3.339
Rh 1.817 6.547 6.823
Rh 1.817 5.402 1.065
Cd 1.817 5.975 3.944
Cd 1.817 7.536 -1.246
Cd 1.817 9.404 8.101
Cd 1.817 11.145 5.464
Cd 1.817 1.816 7.419
Cd 1.817 0.804 2.424
Cd 1.817 4.413 9.134
Cd 1.817 10.133 0.469
Cd 1.817 2.545 -0.213
```

---

First-principles (GGA-PBE) data for LaTlCo2 after structural relaxation, as listed in the Alexandria database.

Calculated total energy (eV per atom): -5.355
Volume (Å³/cell): 81
Size of the total moment (μB/cell): 1.732
Symmetry: Amm2 (38)
Energy relative to the elements (eV per atom): 0.022

extended XYZ file:
```
4
Lattice="3.987 0.000 0.000 0.000 4.229 0.007 0.000 2.106 4.816" Properties=species:S:1:pos:R:3 pbc="T T T"
Co 1.994 0.792 1.118
Co 0.000 0.792 0.060
Tl 1.994 5.015 4.000
La 0.000 2.904 2.056
```

---

First-principles (GGA-PBE) data for KBi after structural relaxation, as listed in the Alexandria database.

Calculated total energy (eV per atom): -2.674
Volume (Å³/cell): 780
Size of the total moment (μB/cell): 0.000
Symmetry: P4/m (83)
Energy relative to the elements (eV per atom): -0.185

extended XYZ file:
```
16
Lattice="-7.374 2.312 7.848 -8.125 -0.834 -7.389 -0.559 -6.268 1.322" Properties=species:S:1:pos:R:3 pbc="T T T"
Bi -9.714 1.126 1.233
Bi -10.673 -3.022 -3.203
Bi -3.910 -3.294 -1.632
Bi -12.148 -1.496 3.413
Bi -6.692 1.056 2.178
Bi -5.785 0.352 -0.774
Bi -5.385 -1.767 4.984
Bi -8.807 0.423 -1.719
K -5.972 -0.422 -4.526
K -8.629 -1.768 3.608
K -9.527 1.900 4.985
K -7.428 -3.021 -1.827
K -10.807 -2.282 0.251
K -2.875 0.691 2.063
K -12.624 0.787 -1.604
K -5.251 -2.507 1.530
```

---

First-principles (GGA-PBE) data for MnSi2Tc after structural relaxation, as listed in the Alexandria database.

Calculated total energy (eV per atom): -7.792
Volume (Å³/cell): 51
Size of the total moment (μB/cell): 1.257
Symmetry: C2/m (12)
E_form (uncorrected) (eV/atom): -0.196

extended XYZ file:
```
4
Lattice="-3.312 0.456 -2.485 -2.449 -2.142 -2.600 -3.560 -1.315 2.998" Properties=species:S:1:pos:R:3 pbc="T T T"
Si -4.599 -1.476 -1.134
Si -5.822 -1.710 -4.995
Tc -6.991 -2.251 -1.566
Mn -2.330 -0.750 -0.522
```

---

First-principles (GGA-PBE) data for Ac2ErZn3Sn4 after structural relaxation, as listed in the Alexandria database.

Calculated total energy (eV per atom): -3.714
Volume (Å³/cell): 267
Size of the total moment (μB/cell): 0.000
Symmetry: P-4m2 (115)
Energy relative to the elements (eV per atom): -0.453

extended XYZ file:
```
10
Lattice="4.655 0.000 0.000 0.000 4.655 0.000 0.000 0.000 12.339" Properties=species:S:1:pos:R:3 pbc="T T T"
Zn 2.328 0.000 10.736
Zn 0.000 2.328 1.603
Zn 0.000 0.000 6.169
Sn 0.000 2.328 4.288
Sn 2.328 0.000 8.051
Sn 2.328 2.328 0.000
Sn 0.000 0.000 0.000
Ac 2.328 0.000 2.881
Ac 0.000 2.328 9.458
Er 2.328 2.328 6.169
```

---

First-principles (GGA-PBE) data for PaCoGeIr after structural relaxation, as listed in the Alexandria database.

Calculated total energy (eV per atom): -7.967
Volume (Å³/cell): 71
Size of the total moment (μB/cell): 0.000
Symmetry: Cm (8)
Energy relative to the elements (eV per atom): -0.447

extended XYZ file:
```
4
Lattice="3.746 0.000 0.000 -1.873 4.316 0.100 0.000 0.123 4.395" Properties=species:S:1:pos:R:3 pbc="T T T"
Pa 1.873 0.486 1.307
Ir 1.873 3.677 3.982
Ge 0.000 1.850 3.464
Co 0.000 2.500 1.278
```

---

First-principles (GGA-PBE) data for AgCl5 after structural relaxation, as listed in the Alexandria database.

Calculated total energy (eV per atom): -1.972
Volume (Å³/cell): 170
Size of the total moment (μB/cell): 0.000
Symmetry: Cmmm (65)
E_form (uncorrected) (eV/atom): 0.042

extended XYZ file:
```
6
Lattice="3.071 3.611 3.775 -4.834 -3.611 -0.558 4.404 -6.267 2.411" Properties=species:S:1:pos:R:3 pbc="T T T"
Cl -3.724 -2.598 0.050
Cl 1.961 2.597 3.167
Cl -0.002 -4.342 2.089
Cl 2.643 -1.926 3.539
Cl 2.202 -3.134 1.206
Ag -0.881 0.000 1.609
```

---

First-principles (GGA-PBE) data for SmPuPd2 after structural relaxation, as listed in the Alexandria database.

Calculated total energy (eV per atom): -7.948
Volume (Å³/cell): 90
Size of the total moment (μB/cell): 5.899
Symmetry: P4/mmm (123)
Energy relative to the elements (eV per atom): -0.588

extended XYZ file:
```
4
Lattice="-1.975 1.637 -2.434 -2.749 -0.011 2.224 2.074 6.361 2.596" Properties=species:S:1:pos:R:3 pbc="T T T"
Pd 0.509 1.562 0.637
Pd 1.565 4.799 1.959
Sm -2.362 0.813 -0.105
Pu -1.325 3.994 1.193
```

---

First-principles (GGA-PBE) data for Dy5Tl2Ir2Ru after structural relaxation, as listed in the Alexandria database.

Calculated total energy (eV per atom): -5.956
Volume (Å³/cell): 485
Size of the total moment (μB/cell): 0.000
Symmetry: P4/mbm (127)
Energy relative to the elements (eV per atom): -0.482

extended XYZ file:
```
20
Lattice="3.532 0.000 0.000 0.000 11.716 0.000 0.000 0.000 11.716" Properties=species:S:1:pos:R:3 pbc="T T T"
Ru 0.000 5.858 5.858
Ru 0.000 0.000 0.000
Ir 0.000 10.130 4.272
Ir 0.000 4.272 1.586
Ir 0.000 7.444 10.130
Ir 0.000 1.586 7.444
Dy 1.766 8.131 5.076
Dy 1.766 9.443 10.934
Dy 1.766 3.585 6.640
Dy 1.766 5.858 0.000
Dy 1.766 0.782 9.443
Dy 1.766 2.273 0.782
Dy 1.766 0.000 5.858
Dy 1.766 5.076 3.585
Dy 1.766 10.934 2.273
Dy 1.766 6.640 8.131
Tl 0.000 2.074 3.784
Tl 0.000 9.642 7.932
Tl 0.000 3.784 9.642
Tl 0.000 7.932 2.074
```